Record 1
Material: SmMn2
Method: DFT, GGA-PBE
State: relaxed

Energy relative to the elements = 0.285 eV per atom
SG = P6_3/mmc, No. 194

Cell lengths 5.1940, 5.1940, 8.3214 Å; angles 90.00, 90.00, 120.00 degrees
Last column: nearest neighbours and their distance in Å.
Positions (direct):
Mn 0.0000 0.0000 0.0000  6 Mn 2.55
Mn 0.0000 0.0000 0.5000  6 Mn 2.55
Mn 0.1632 0.8368 0.7500  6 Mn 2.54-2.65
Mn 0.8368 0.6736 0.2500  6 Mn 2.54-2.65
Mn 0.3264 0.1632 0.2500  6 Mn 2.54-2.65
Mn 0.6736 0.8368 0.7500  6 Mn 2.54-2.65
Mn 0.1632 0.3264 0.7500  6 Mn 2.54-2.65
Mn 0.8368 0.1632 0.2500  6 Mn 2.54-2.65
Sm 0.6667 0.3333 0.9390  12 Mn 3.01-3.04, 4 Sm 3.15-3.17
Sm 0.3333 0.6667 0.4390  12 Mn 3.01-3.04, 4 Sm 3.15-3.17
Sm 0.3333 0.6667 0.0610  12 Mn 3.01-3.04, 4 Sm 3.15-3.17
Sm 0.6667 0.3333 0.5610  12 Mn 3.01-3.04, 4 Sm 3.15-3.17

Record 2
Material: Dy2YHo
Method: DFT, GGA-PBE
State: relaxed

Energy relative to the elements = 0.142 eV per atom
SG = Fm-3m, No. 225
Polymorph energy (0 for the lowest one) = 0.137 eV/atom

Cell lengths 5.6614, 5.6614, 5.6614 Å; angles 60.00, 60.00, 60.00 degrees
Last column: nearest neighbours and their distance in Å.
Positions (direct):
Y 0.0000 0.0000 0.0000  8 Dy 3.47
Ho 0.5000 0.5000 0.5000  8 Dy 3.47
Dy 0.2500 0.2500 0.2500  4 Ho 3.47, 4 Y 3.47
Dy 0.7500 0.7500 0.7500  4 Ho 3.47, 4 Y 3.47

Record 3
Material: La3Si5Ir6
Method: DFT, GGA-PBE
State: relaxed

Formation energy without anion corrections = -949.4 meV per atom
SG = Pmmn, No. 59

Cell lengths 4.0596, 10.1371, 12.5300 Å; angles 90.00, 90.00, 90.00 degrees
Last column: nearest neighbours and their distance in Å.
Positions (direct):
La 0.0000 0.2555 0.6510  7 Ir 3.08-3.44, 6 Si 3.16-3.21
La 0.5000 0.7445 0.1510  7 Ir 3.08-3.44, 6 Si 3.16-3.21
La 0.5000 0.7445 0.8490  7 Ir 3.08-3.44, 6 Si 3.16-3.21
La 0.0000 0.2580 0.0000  6 Si 2.98-3.21, 6 Ir 3.09-3.27
La 0.5000 0.7420 0.5000  6 Si 2.98-3.21, 6 Ir 3.09-3.27
La 0.0000 0.2555 0.3490  7 Ir 3.08-3.44, 6 Si 3.16-3.21
Si 0.0000 0.5070 0.8739  5 Ir 2.39-2.57
Si 0.0000 0.8539 0.6766  5 Ir 2.44-2.52
Si 0.0000 0.9043 0.0000  4 Ir 2.38-2.41
Si 0.5000 0.4930 0.6261  5 Ir 2.39-2.57
Si 0.5000 0.0957 0.5000  4 Ir 2.38-2.41
Si 0.0000 0.5070 0.1261  5 Ir 2.39-2.57
Si 0.5000 0.4930 0.3739  5 Ir 2.39-2.57
Si 0.0000 0.8539 0.3234  5 Ir 2.44-2.52
Si 0.5000 0.1461 0.8234  5 Ir 2.44-2.52
Si 0.5000 0.1461 0.1766  5 Ir 2.44-2.52
Ir 0.0000 0.0136 0.8294  4 Si 2.41-2.51
Ir 0.5000 0.9864 0.6706  4 Si 2.41-2.51
Ir 0.5000 0.3932 0.7986  4 Si 2.39-2.52
Ir 0.5000 0.5035 0.0000  4 Si 2.57, 2 Ir 2.76
Ir 0.0000 0.4965 0.5000  4 Si 2.57, 2 Ir 2.76
Ir 0.0000 0.6068 0.7014  4 Si 2.39-2.52
Ir 0.0000 0.6068 0.2986  4 Si 2.39-2.52
Ir 0.5000 0.0276 0.0000  4 Si 2.38-2.52
Ir 0.0000 0.0136 0.1706  4 Si 2.41-2.51
Ir 0.5000 0.3932 0.2014  4 Si 2.39-2.52
Ir 0.0000 0.9724 0.5000  4 Si 2.38-2.52
Ir 0.5000 0.9864 0.3294  4 Si 2.41-2.51

Number 1: DFT total energy -7.40 eV per atom. Number 2: DFT total energy -4.92 eV per atom. Number 3: DFT total energy -7.74 eV per atom.